DFT (PBE) results for Al4CrP after structural relaxation.

Geometry as CIF:
```
data_Al4CrP
_chemical_formula_sum 'Al16 Cr4 P4'
_cell_length_a 7.2403
_cell_length_b 7.2403
_cell_length_c 7.2403
_cell_angle_alpha 90.00
_cell_angle_beta 90.00
_cell_angle_gamma 90.00
_space_group_name_H-M_alt 'F -4 3 m'
_space_group_IT_number 216
_space_group_name_Hall 'F -4 2 3'
loop_
_atom_site_label
_atom_site_fract_x
_atom_site_fract_y
_atom_site_fract_z
Al1 0.1243 0.1243 0.3757
Cr1 0.2500 0.2500 0.7500
P1 0.0000 0.0000 0.0000
```

**ΔH_f (0 K)**: 0.34 eV per atom

---

DFT (PBE) results for KAsBr3 after structural relaxation.

Geometry as CIF:
```
data_KAsBr3
_chemical_formula_sum 'K2 As2 Br6'
_cell_length_a 6.2498
_cell_length_b 6.2946
_cell_length_c 10.6632
_cell_angle_alpha 90.58
_cell_angle_beta 90.65
_cell_angle_gamma 90.43
_space_group_name_H-M_alt 'P -1'
_space_group_IT_number 2
_space_group_name_Hall '-P 1'
loop_
_atom_site_label
_atom_site_fract_x
_atom_site_fract_y
_atom_site_fract_z
K1 0.2495 0.2503 0.4949
As1 0.4331 0.5644 0.1054
Br1 0.2100 0.3799 0.8170
Br2 0.2493 0.7486 0.4115
Br3 0.3687 0.2082 0.1729
```

**Formation energy without anion corrections**: -895 meV per atom
**Distance to the lowest polymorph of the same formula**: 0.0 meV/atom